KAlCr2 | SCAN | PBEsol geometry

Properties
Energy of formation from the pure elements = 879.9 meV/atom

Lattice parameters (Å, degrees): 3.045 4.894 5.432 90.00 90.00 90.00
Positions (direct):
K 0.000 0.000 0.000
Al 0.500 0.000 0.500
Cr 0.000 0.500 0.500
Cr 0.500 0.500 0.000

***

LaAl4Cr | SCAN | PBEsol geometry

Properties
Energy of formation from the pure elements = -136.0 meV/atom

Lattice parameters (Å, degrees): 5.468 5.468 5.468 60.00 60.00 60.00
Positions (direct):
La 0.000 0.000 0.000
Al 0.375 0.375 0.375
Al 0.375 0.375 0.876
Al 0.375 0.876 0.375
Al 0.876 0.375 0.375
Cr 0.750 0.750 0.750

***

LaAlCr3 | SCAN | PBEsol geometry

Properties
Energy of formation from the pure elements = 1914.0 meV/atom

Lattice parameters (Å, degrees): 4.480 4.480 4.480 90.00 90.00 90.00
Positions (direct):
La 0.000 0.000 0.000
Al 0.500 0.500 0.500
Cr 0.000 0.000 0.500
Cr 0.000 0.500 0.000
Cr 0.500 0.000 0.000

***

For the records above, the corresponding total magnetic moment values read 8.33, 3.53, 6.19 μB/cell.
For the records above, the corresponding N(E_F) values read 1.8, 4.5, 4.5 states/eV/cell.